{
  "formula": "CuCl2",
  "functional": "PBE",
  "state": "relaxed",
  "e_tot_ev_per_atom": -3.015,
  "lattice": [[1.767, 1.020, 6.043], [-1.767, 1.020, 6.043], [0.000, -2.040, 6.043]],
  "species": ["Cu", "Cl", "Cl"],
  "frac_coords": [[0.000, 0.000, 0.000], [0.260, 0.260, 0.260], [0.740, 0.740, 0.740]]
}

{
  "formula": "Sc2MnTlH",
  "functional": "PBE",
  "state": "relaxed",
  "e_tot_ev_per_atom": -5.704,
  "lattice": [[4.482, 0.000, 0.000], [0.000, 4.482, 0.000], [0.000, 0.000, 4.072]],
  "species": ["Sc", "Sc", "Mn", "Tl", "H"],
  "frac_coords": [[0.000, 0.500, 0.000], [0.500, 0.000, 0.000], [0.000, 0.000, 0.500], [0.500, 0.500, 0.500], [0.000, 0.000, 0.000]]
}

{
  "formula": "Na2ScPt2O6",
  "functional": "PBE",
  "state": "relaxed",
  "e_tot_ev_per_atom": -6.050,
  "lattice": [[2.784, -4.721, 0.000], [2.784, 4.721, 0.000], [-2.044, 0.000, 5.524]],
  "species": ["Na", "Na", "Sc", "Pt", "Pt", "O", "O", "O", "O", "O", "O"],
  "frac_coords": [[0.174, 0.826, 0.000], [0.826, 0.174, 0.000], [0.000, 0.000, 0.500], [0.336, 0.664, 0.500], [0.664, 0.336, 0.500], [0.054, 0.403, 0.695], [0.260, 0.260, 0.305], [0.403, 0.054, 0.695], [0.597, 0.946, 0.305], [0.740, 0.740, 0.695], [0.946, 0.597, 0.305]]
}

{
  "formula": "CaCo2Ir",
  "functional": "PBE",
  "state": "relaxed",
  "formation_energy_mev_per_atom": 387,
  "lattice": [[3.126, 0.000, 0.000], [0.000, 4.364, 0.000], [0.000, 0.000, 4.473]],
  "species": ["Ca", "Co", "Co", "Ir"],
  "frac_coords": [[0.000, 0.000, 0.000], [0.000, 0.500, 0.500], [0.500, 0.500, 0.000], [0.500, 0.000, 0.500]]
}

Size of the total moment values (in μB/f.u.) by entry order: 1.02 2.32 0.99 3.71.